This record from Alexandria describes a geometry-optimized KCu2MoO structure. The functional is PBE with a Hubbard U.

Lattice parameters (Å, degrees): 4.697 4.697 4.284 90.00 90.00 90.00
Atoms (fractional coordinates):
K (0.000, 0.000, 0.000)
Cu (0.000, 0.500, 0.500)
Cu (0.500, 0.000, 0.500)
Mo (0.500, 0.500, 0.000)
O (0.500, 0.500, 0.500)

Summary:
The raw total energy is -0.281 Ry per atom.